1.
A relaxed Ac2Pr3Dy3 crystal, computed with PBE.

```
data_Ac2Pr3Dy3
_space_group_name_H-M_alt 'C m c m'
_space_group_IT_number 63
_space_group_name_Hall '-C 2c 2'
_cell_length_a 3.843
_cell_length_b 17.688
_cell_length_c 17.696
_cell_angle_alpha 90.00
_cell_angle_beta 90.00
_cell_angle_gamma 90.00
loop_
_atom_site_label
_atom_site_fract_x
_atom_site_fract_y
_atom_site_fract_z
Ac1 0.000 0.248 0.107
Pr1 0.000 0.093 0.541
Pr2 0.000 0.114 0.250
Dy1 0.000 0.092 0.750
Dy2 0.000 0.457 0.619
```

## Properties
E = -4.390 eV per atom
energy relative to the elements = 1.24 eV/f.u.
theoretical density = 7.53 g/cm³

2.
A relaxed Y4HgPt crystal, computed with PBE.

```
data_Y4HgPt
_space_group_name_H-M_alt 'P 1 21/c 1'
_space_group_IT_number 14
_cell_length_a 7.245
_cell_length_b 7.129
_cell_length_c 7.042
_cell_angle_alpha 90.00
_cell_angle_beta 92.77
_cell_angle_gamma 90.00
loop_
_space_group_symop_operation_xyz
'x,y,z'
'-x,-y,-z'
'-x,y+1/2,-z+1/2'
'x,-y+1/2,z+1/2'
loop_
_atom_site_label
_atom_site_fract_x
_atom_site_fract_y
_atom_site_fract_z
Y1 0.147 0.159 0.174
Y2 0.329 0.648 0.130
Hg1 0.500 0.000 0.000
Pt1 0.000 0.000 0.500
```

## Properties
E = -5.847 eV per atom
energy relative to the elements = -2.89 eV/f.u.
theoretical density = 6.87 g/cm³

3.
A relaxed CrAsICl2 crystal, computed with PBE.

```
data_CrAsICl2
_space_group_name_H-M_alt 'P 4/m m m'
_space_group_IT_number 123
_space_group_name_Hall '-P 4 2'
_cell_length_a 4.833
_cell_length_b 4.833
_cell_length_c 5.643
_cell_angle_alpha 90.00
_cell_angle_beta 90.00
_cell_angle_gamma 90.00
loop_
_atom_site_label
_atom_site_fract_x
_atom_site_fract_y
_atom_site_fract_z
Cr1 0.000 0.000 0.000
As1 0.000 0.000 0.500
I1 0.500 0.500 0.000
Cl1 0.000 0.500 0.500
```

## Properties
E = -3.864 eV per atom
uncorrected formation energy = 0.04 eV/atom
theoretical density = 4.09 g/cm³

4.
A relaxed Pm3Pr2Dy crystal, computed with PBE.

```
data_Pm3Pr2Dy
_space_group_name_H-M_alt 'C 1 2/m 1'
_space_group_IT_number 12
_cell_length_a 18.264
_cell_length_b 3.499
_cell_length_c 6.699
_cell_angle_alpha 90.00
_cell_angle_beta 102.83
_cell_angle_gamma 90.00
loop_
_space_group_symop_operation_xyz
'x,y,z'
'-x,-y,-z'
'-x,y,-z'
'x,-y,z'
'x+1/2,y+1/2,z'
'-x+1/2,-y+1/2,-z'
'-x+1/2,y+1/2,-z'
'x+1/2,-y+1/2,z'
loop_
_atom_site_label
_atom_site_fract_x
_atom_site_fract_y
_atom_site_fract_z
Pm1 0.000 0.000 0.000
Pm2 0.170 0.000 0.359
Pr1 0.161 0.500 0.848
Dy1 0.000 0.000 0.500
```

## Properties
E = -4.590 eV per atom
energy relative to the elements = 0.87 eV/f.u.
theoretical density = 7.00 g/cm³

5.
A relaxed UNi4Pt2 crystal, computed with PBE.

```
data_UNi4Pt2
_space_group_name_H-M_alt 'I 4/m m m'
_space_group_IT_number 139
_space_group_name_Hall '-I 4 2'
_cell_length_a 4.743
_cell_length_b 4.743
_cell_length_c 9.421
_cell_angle_alpha 90.00
_cell_angle_beta 90.00
_cell_angle_gamma 90.00
loop_
_atom_site_label
_atom_site_fract_x
_atom_site_fract_y
_atom_site_fract_z
U1 0.000 0.000 0.000
Ni1 0.000 0.500 0.000
Ni2 0.000 0.500 0.250
Pt1 0.000 0.000 0.356
```

## Properties
E = -6.555 eV per atom
energy relative to the elements = 0.61 eV/f.u.
theoretical density = 13.53 g/cm³

6.
A relaxed PmIrC2O8 crystal, computed with PBE.

```
data_PmIrC2O8
_space_group_name_H-M_alt 'C 1 2/m 1'
_space_group_IT_number 12
_cell_length_a 8.827
_cell_length_b 5.034
_cell_length_c 5.755
_cell_angle_alpha 90.00
_cell_angle_beta 110.17
_cell_angle_gamma 90.00
loop_
_space_group_symop_operation_xyz
'x,y,z'
'-x,-y,-z'
'-x,y,-z'
'x,-y,z'
'x+1/2,y+1/2,z'
'-x+1/2,-y+1/2,-z'
'-x+1/2,y+1/2,-z'
'x+1/2,-y+1/2,z'
loop_
_atom_site_label
_atom_site_fract_x
_atom_site_fract_y
_atom_site_fract_z
Pm1 0.000 0.000 0.000
Ir1 0.000 0.500 0.500
C1 0.202 0.000 0.632
O1 0.125 0.500 0.251
O2 0.136 0.225 0.733
O3 0.156 0.000 0.397
```

## Properties
E = -7.296 eV per atom
uncorrected formation energy = -1.32 eV/atom
theoretical density = 6.77 g/cm³